Material: Li2AlSe
Method: DFT, PBE
State: optimized geometry

The structure in POSCAR format:
```
Li2AlSe
1.0
4.2295 0.0000 0.0000
0.0000 4.2295 0.0000
2.1148 2.1148 8.7735
Al Se Li
2 2 4
direct
0.5000 0.5000 0.0000 Al
0.2500 0.7500 0.5000 Al
0.0000 0.0000 0.0000 Se
0.7500 0.2500 0.5000 Se
0.6557 0.1250 0.2500 Li
0.0943 0.6250 0.2500 Li
0.3750 0.3443 0.7500 Li
0.8750 0.9057 0.7500 Li
```

Output
Offset from the most stable computed form, meV per atom: 217
Density, g/cm³: 2.54
V, Å³/cell: 156.9
Uncorrected formation energy, meV/atom: -313
N(E_F), states/eV/cell: 3.46
Electronic total energy, eV per cell: -24.61
Magnetization, μB/f.u.: 0.000
Symmetry: No. 122